Entry 1:
# Cu4C, relaxed, DFT PBE-GGA
# - M_tot: 0.00 μB/f.u.
# - E: -4.3320 eV/atom
# - Energy relative to the lowest polymorph listed for this composition: 0.394 eV/atom
# - Energy of formation from the pure elements: 790 meV/atom
data_Cu4C
_chemical_formula_sum 'Cu4 C1'
_space_group_name_H-M_alt 'P -3 m 1'
_space_group_IT_number 164
_space_group_name_Hall '-P 3 2"'
_cell_length_a 2.6076
_cell_length_b 2.6076
_cell_length_c 9.7525
_cell_angle_alpha 90.00
_cell_angle_beta 90.00
_cell_angle_gamma 120.00
loop_
_atom_site_label
_atom_site_type_symbol
_atom_site_fract_x
_atom_site_fract_y
_atom_site_fract_z
Cu1 Cu 0.3333 0.6667 0.1431
Cu2 Cu 0.3333 0.6667 0.3942
C1 C 0.0000 0.0000 0.0000

=====

Entry 2:
# LaTc2P, relaxed, DFT PBE-GGA
# - M_tot: 0.00 μB/f.u.
# - E: -7.9158 eV/atom
# - Energy of formation from the pure elements: -148 meV/atom
data_LaTc2P
_chemical_formula_sum 'La1 Tc2 P1'
_space_group_name_H-M_alt 'P 1 2/m 1'
_space_group_IT_number 10
_space_group_name_Hall '-P 2y'
_cell_length_a 4.6396
_cell_length_b 3.7376
_cell_length_c 5.0509
_cell_angle_alpha 90.00
_cell_angle_beta 107.25
_cell_angle_gamma 90.00
loop_
_atom_site_label
_atom_site_type_symbol
_atom_site_fract_x
_atom_site_fract_y
_atom_site_fract_z
La1 La 0.0000 0.0000 0.0000
Tc1 Tc 0.2654 0.5000 0.6205
P1 P 0.5000 0.0000 0.5000

=====

Entry 3:
# AsPd2N, relaxed, DFT PBE-GGA
# - M_tot: 0.00 μB/f.u.
# - E: -5.4462 eV/atom
# - E_form (uncorrected): 0.39 eV/atom
# - Energy relative to the lowest polymorph listed for this composition: 0.000 eV/atom
data_AsPd2N
_chemical_formula_sum 'As4 Pd8 N4'
_space_group_name_H-M_alt 'I -4 2 d'
_space_group_IT_number 122
_space_group_name_Hall 'I -4 2bw'
_cell_length_a 4.7829
_cell_length_b 4.7829
_cell_length_c 11.7720
_cell_angle_alpha 90.00
_cell_angle_beta 90.00
_cell_angle_gamma 90.00
loop_
_atom_site_label
_atom_site_type_symbol
_atom_site_fract_x
_atom_site_fract_y
_atom_site_fract_z
As1 As 0.0000 0.0000 0.0000
Pd1 Pd 0.1510 0.2500 0.6250
N1 N 0.0000 0.0000 0.5000

=====

Entry 4:
# Y3Zn2Ge3, relaxed, DFT PBE-GGA
# - M_tot: 0.00 μB/f.u.
# - E: -5.1079 eV/atom
# - Energy relative to the lowest polymorph listed for this composition: 0.034 eV/atom
# - Energy of formation from the pure elements: -634 meV/atom
data_Y3Zn2Ge3
_chemical_formula_sum 'Y12 Zn8 Ge12'
_space_group_name_H-M_alt 'C m c m'
_space_group_IT_number 63
_space_group_name_Hall '-C 2c 2'
_cell_length_a 4.2187
_cell_length_b 10.8466
_cell_length_c 14.8938
_cell_angle_alpha 90.00
_cell_angle_beta 90.00
_cell_angle_gamma 90.00
loop_
_atom_site_label
_atom_site_type_symbol
_atom_site_fract_x
_atom_site_fract_y
_atom_site_fract_z
Y1 Y 0.0000 0.0796 0.2500
Y2 Y 0.0000 0.3688 0.1018
Zn1 Zn 0.0000 0.3481 0.6223
Ge1 Ge 0.0000 0.0936 0.0486
Ge2 Ge 0.0000 0.1928 0.7500

=====

Entry 5:
# Rb3Tb2MnS6, relaxed, DFT PBE-GGA
# - M_tot: 4.00 μB/f.u.
# - E: -5.2848 eV/atom
# - E_form (uncorrected): -1.44 eV/atom
data_Rb3Tb2MnS6
_chemical_formula_sum 'Rb6 Tb4 Mn2 S12'
_space_group_name_H-M_alt 'C 1 2/m 1'
_space_group_IT_number 12
_space_group_name_Hall '-C 2y'
_cell_length_a 7.0637
_cell_length_b 11.7508
_cell_length_c 8.0438
_cell_angle_alpha 90.00
_cell_angle_beta 107.94
_cell_angle_gamma 90.00
loop_
_atom_site_label
_atom_site_type_symbol
_atom_site_fract_x
_atom_site_fract_y
_atom_site_fract_z
Rb1 Rb 0.0000 0.0000 0.0000
Rb2 Rb 0.0000 0.3279 0.0000
Tb1 Tb 0.0000 0.1630 0.5000
Mn1 Mn 0.0000 0.5000 0.5000
S1 S 0.2095 0.3497 0.6767
S2 S 0.2304 0.0000 0.7060

=====

Entry 6:
# PaTa2Zn, relaxed, DFT PBE-GGA
# - M_tot: 0.00 μB/f.u.
# - E: -8.1436 eV/atom
# - Energy relative to the lowest polymorph listed for this composition: 0.282 eV/atom
# - Energy of formation from the pure elements: 475 meV/atom
data_PaTa2Zn
_chemical_formula_sum 'Pa3 Ta6 Zn3'
_space_group_name_H-M_alt 'R -3 m'
_space_group_IT_number 166
_space_group_name_Hall '-R 3 2"'
_cell_length_a 2.9751
_cell_length_b 2.9751
_cell_length_c 30.7323
_cell_angle_alpha 90.00
_cell_angle_beta 90.00
_cell_angle_gamma 120.00
loop_
_atom_site_label
_atom_site_type_symbol
_atom_site_fract_x
_atom_site_fract_y
_atom_site_fract_z
Pa1 Pa 0.0000 0.0000 0.0000
Ta1 Ta 0.0000 0.0000 0.0932
Zn1 Zn 0.0000 0.0000 0.5000

=====

Entry 7:
# La2HoTl, relaxed, DFT PBE-GGA
# - M_tot: 0.00 μB/f.u.
# - E: -4.4068 eV/atom
# - Energy relative to the lowest polymorph listed for this composition: 0.000 eV/atom
# - Energy of formation from the pure elements: -207 meV/atom
data_La2HoTl
_chemical_formula_sum 'La2 Ho1 Tl1'
_space_group_name_H-M_alt 'P 4/m m m'
_space_group_IT_number 123
_space_group_name_Hall '-P 4 2'
_cell_length_a 4.9134
_cell_length_b 4.9134
_cell_length_c 5.1560
_cell_angle_alpha 90.00
_cell_angle_beta 90.00
_cell_angle_gamma 90.00
loop_
_atom_site_label
_atom_site_type_symbol
_atom_site_fract_x
_atom_site_fract_y
_atom_site_fract_z
La1 La 0.0000 0.5000 0.0000
Ho1 Ho 0.0000 0.0000 0.5000
Tl1 Tl 0.5000 0.5000 0.5000

=====

Entry 8:
# BaPd6Pb6, relaxed, DFT PBE-GGA
# - M_tot: 0.00 μB/f.u.
# - E: -4.5584 eV/atom
# - Energy of formation from the pure elements: -302 meV/atom
data_BaPd6Pb6
_chemical_formula_sum 'Ba2 Pd12 Pb12'
_space_group_name_H-M_alt 'I m m m'
_space_group_IT_number 71
_space_group_name_Hall '-I 2 2'
_cell_length_a 5.9330
_cell_length_b 9.5510
_cell_length_c 10.3062
_cell_angle_alpha 90.00
_cell_angle_beta 90.00
_cell_angle_gamma 90.00
loop_
_atom_site_label
_atom_site_type_symbol
_atom_site_fract_x
_atom_site_fract_y
_atom_site_fract_z
Ba1 Ba 0.0000 0.0000 0.0000
Pd1 Pd 0.0000 0.2599 0.5000
Pd2 Pd 0.2500 0.2500 0.2500
Pb1 Pb 0.0000 0.0000 0.3434
Pb2 Pb 0.0000 0.3419 0.0000
Pb3 Pb 0.0000 0.5000 0.3207

=====

Entry 9:
# Tm4Be, relaxed, DFT PBE-GGA
# - M_tot: 0.00 μB/f.u.
# - E: -4.0509 eV/atom
# - Energy of formation from the pure elements: 272 meV/atom
data_Tm4Be
_chemical_formula_sum 'Tm4 Be1'
_space_group_name_H-M_alt 'P m -3 m'
_space_group_IT_number 221
_space_group_name_Hall '-P 4 2 3'
_cell_length_a 5.2148
_cell_length_b 5.2148
_cell_length_c 5.2148
_cell_angle_alpha 90.00
_cell_angle_beta 90.00
_cell_angle_gamma 90.00
loop_
_atom_site_label
_atom_site_type_symbol
_atom_site_fract_x
_atom_site_fract_y
_atom_site_fract_z
Tm1 Tm 0.0000 0.0000 0.0000
Tm2 Tm 0.0000 0.5000 0.5000
Be1 Be 0.5000 0.5000 0.5000

=====

Entry 10:
# Cs2TmTe3O12, relaxed, DFT PBE-GGA
# - M_tot: 0.91 μB/f.u.
# - E: -5.6670 eV/atom
# - E_form (uncorrected): -1.49 eV/atom
data_Cs2TmTe3O12
_chemical_formula_sum 'Cs6 Tm3 Te9 O36'
_space_group_name_H-M_alt 'R -3 m'
_space_group_IT_number 166
_space_group_name_Hall '-R 3 2"'
_cell_length_a 7.4272
_cell_length_b 7.4272
_cell_length_c 18.7934
_cell_angle_alpha 90.00
_cell_angle_beta 90.00
_cell_angle_gamma 120.00
loop_
_atom_site_label
_atom_site_type_symbol
_atom_site_fract_x
_atom_site_fract_y
_atom_site_fract_z
Cs1 Cs 0.0000 0.0000 0.1238
Tm1 Tm 0.0000 0.0000 0.5000
Te1 Te 0.0000 0.5000 0.0000
O1 O 0.0535 0.5268 0.0986
O2 O 0.0699 0.5350 0.3515

=====

Entry 11:
# K2BaRe, relaxed, DFT PBE-GGA
# - M_tot: 0.69 μB/f.u.
# - E: -2.6787 eV/atom
# - Energy relative to the lowest polymorph listed for this composition: 0.347 eV/atom
# - Energy of formation from the pure elements: 1463 meV/atom
data_K2BaRe
_chemical_formula_sum 'K2 Ba1 Re1'
_space_group_name_H-M_alt 'P 4/m m m'
_space_group_IT_number 123
_space_group_name_Hall '-P 4 2'
_cell_length_a 3.1190
_cell_length_b 3.1190
_cell_length_c 13.6821
_cell_angle_alpha 90.00
_cell_angle_beta 90.00
_cell_angle_gamma 90.00
loop_
_atom_site_label
_atom_site_type_symbol
_atom_site_fract_x
_atom_site_fract_y
_atom_site_fract_z
K1 K 0.0000 0.0000 0.1947
Ba1 Ba 0.5000 0.5000 0.5000
Re1 Re 0.5000 0.5000 0.0000

=====

Entry 12:
# Bi2As2I, relaxed, DFT PBE-GGA
# - M_tot: 0.00 μB/f.u.
# - E: -3.7546 eV/atom
# - E_form (uncorrected): -0.03 eV/atom
# - Energy relative to the lowest polymorph listed for this composition: 0.000 eV/atom
data_Bi2As2I
_chemical_formula_sum 'Bi4 As4 I2'
_space_group_name_H-M_alt 'I 4/m m m'
_space_group_IT_number 139
_space_group_name_Hall '-I 4 2'
_cell_length_a 4.7601
_cell_length_b 4.7601
_cell_length_c 14.3753
_cell_angle_alpha 90.00
_cell_angle_beta 90.00
_cell_angle_gamma 90.00
loop_
_atom_site_label
_atom_site_type_symbol
_atom_site_fract_x
_atom_site_fract_y
_atom_site_fract_z
Bi1 Bi 0.0000 0.0000 0.1355
As1 As 0.0000 0.5000 0.2500
I1 I 0.0000 0.0000 0.5000

=====

Entry 13:
# SbTe2AsPt, relaxed, DFT PBE-GGA
# - M_tot: 0.00 μB/f.u.
# - E: -3.1950 eV/atom
# - E_form (uncorrected): 1.02 eV/atom
# - Energy relative to the lowest polymorph listed for this composition: 0.468 eV/atom
data_SbTe2AsPt
_chemical_formula_sum 'Sb1 Te2 As1 Pt1'
_space_group_name_H-M_alt 'P 4/m m m'
_space_group_IT_number 123
_space_group_name_Hall '-P 4 2'
_cell_length_a 5.3695
_cell_length_b 5.3695
_cell_length_c 5.1759
_cell_angle_alpha 90.00
_cell_angle_beta 90.00
_cell_angle_gamma 90.00
loop_
_atom_site_label
_atom_site_type_symbol
_atom_site_fract_x
_atom_site_fract_y
_atom_site_fract_z
Sb1 Sb 0.0000 0.0000 0.0000
Te1 Te 0.0000 0.5000 0.5000
As1 As 0.0000 0.0000 0.5000
Pt1 Pt 0.5000 0.5000 0.0000

=====

Entry 14:
# Y6Ho2ErTm, relaxed, DFT PBE-GGA
# - M_tot: 0.00 μB/f.u.
# - E: -5.5783 eV/atom
# - Energy of formation from the pure elements: 119 meV/atom
data_Y6Ho2ErTm
_chemical_formula_sum 'Y24 Ho8 Er4 Tm4'
_space_group_name_H-M_alt 'C 1 2/c 1'
_space_group_IT_number 15
_space_group_name_Hall '-C 2yc'
_cell_length_a 9.0516
_cell_length_b 14.9397
_cell_length_c 9.5921
_cell_angle_alpha 90.00
_cell_angle_beta 98.58
_cell_angle_gamma 90.00
loop_
_atom_site_label
_atom_site_type_symbol
_atom_site_fract_x
_atom_site_fract_y
_atom_site_fract_z
Y1 Y 0.0619 0.1845 0.4441
Y2 Y 0.1024 0.3947 0.6187
Y3 Y 0.2059 0.2227 0.8154
Ho1 Ho 0.2467 0.0510 0.0454
Er1 Er 0.0000 0.4081 0.2500
Tm1 Tm 0.0000 0.0228 0.7500

=====

Entry 15:
# AcCdP2S8, relaxed, DFT PBE-GGA
# - M_tot: 0.00 μB/f.u.
# - E: -4.5916 eV/atom
# - E_form (uncorrected): -0.52 eV/atom
data_AcCdP2S8
_chemical_formula_sum 'Ac1 Cd1 P2 S8'
_space_group_name_H-M_alt 'P -3 m 1'
_space_group_IT_number 164
_space_group_name_Hall '-P 3 2"'
_cell_length_a 6.4389
_cell_length_b 6.4389
_cell_length_c 9.2657
_cell_angle_alpha 90.00
_cell_angle_beta 90.00
_cell_angle_gamma 120.00
loop_
_atom_site_label
_atom_site_type_symbol
_atom_site_fract_x
_atom_site_fract_y
_atom_site_fract_z
Ac1 Ac 0.0000 0.0000 0.0000
Cd1 Cd 0.0000 0.0000 0.5000
P1 P 0.3333 0.6667 0.2035
S1 S 0.1588 0.3177 0.2740
S2 S 0.3333 0.6667 0.9866

=====

Entry 16:
# YV2Tc, relaxed, DFT PBE-GGA
# - M_tot: 2.45 μB/f.u.
# - E: -8.4542 eV/atom
# - Energy relative to the lowest polymorph listed for this composition: 0.000 eV/atom
# - Energy of formation from the pure elements: 313 meV/atom
data_YV2Tc
_chemical_formula_sum 'Y4 V8 Tc4'
_space_group_name_H-M_alt 'F m -3 m'
_space_group_IT_number 225
_space_group_name_Hall '-F 4 2 3'
_cell_length_a 6.4636
_cell_length_b 6.4636
_cell_length_c 6.4636
_cell_angle_alpha 90.00
_cell_angle_beta 90.00
_cell_angle_gamma 90.00
loop_
_atom_site_label
_atom_site_type_symbol
_atom_site_fract_x
_atom_site_fract_y
_atom_site_fract_z
Y1 Y 0.0000 0.0000 0.0000
V1 V 0.2500 0.2500 0.2500
Tc1 Tc 0.0000 0.0000 0.5000

=====

Entry 17:
# Sr2Mg3Zn12Ag, relaxed, DFT PBE-GGA
# - M_tot: 0.00 μB/f.u.
# - E: -1.3228 eV/atom
# - Energy of formation from the pure elements: 138 meV/atom
data_Sr2Mg3Zn12Ag
_chemical_formula_sum 'Sr6 Mg9 Zn36 Ag3'
_space_group_name_H-M_alt 'R -3 m'
_space_group_IT_number 166
_space_group_name_Hall '-R 3 2"'
_cell_length_a 8.6166
_cell_length_b 8.6166
_cell_length_c 21.0383
_cell_angle_alpha 90.00
_cell_angle_beta 90.00
_cell_angle_gamma 120.00
loop_
_atom_site_label
_atom_site_type_symbol
_atom_site_fract_x
_atom_site_fract_y
_atom_site_fract_z
Sr1 Sr 0.0000 0.0000 0.0928
Mg1 Mg 0.0000 0.5000 0.0000
Zn1 Zn 0.0051 0.5025 0.1401
Zn2 Zn 0.1068 0.2137 0.7502
Ag1 Ag 0.0000 0.0000 0.5000